Entry 1:
## CePaAsN (PBE)

Data for an optimized crystal structure of CePaAsN.

The structure belongs to space group R-3m (No. 166, hexagonal axes); the cell edges are 3.9004, 3.9004 and 40.9255 Å and the angles 90.00°, 90.00° and 120.00°. The inequivalent atoms are Ce at (0.0000, 0.0000, 0.2047), Pa at (0.0000, 0.0000, 0.3689), As at (0.0000, 0.0000, 0.0828) and N at (0.0000, 0.0000, 0.3132).

As for the density of states at the Fermi level: 43.107 states/eV/cell. Its formation energy (no corrections) is -1.255 eV/atom. The density is 8501 kg/m3.

Entry 2:
## CeAsPdN (PBE)

Data for an optimized crystal structure of CeAsPdN.

The structure belongs to space group I4mm (No. 107); the cell edges are 3.392, 3.392 and 12.322 Å and the angles 90.00°, 90.00° and 90.00°. The inequivalent atoms are Ce at (0.000, 0.000, 0.000), As at (0.000, 0.000, 0.727), Pd at (0.000, 0.000, 0.306) and N at (0.000, 0.000, 0.482).

As for the density of states at the Fermi level: 7.098 states/eV/cell. Its formation energy (no corrections) is -0.756 eV/atom. The density is 7857 kg/m3.

Entry 3:
## Ce4Pm2As3N2 (PBE)

Data for an optimized crystal structure of Ce4Pm2As3N2.

The structure belongs to space group I4/mmm (No. 139); the cell edges are 4.589, 4.589 and 24.704 Å and the angles 90.00°, 90.00° and 90.00°. The inequivalent atoms are Ce at (0.000, 0.500, 0.081), Pm at (0.000, 0.000, 0.200), As at (0.000, 0.000, 0.324), As at (0.000, 0.000, 0.500) and N at (0.000, 0.000, 0.103).

As for the density of states at the Fermi level: 40.475 states/eV/cell. Its formation energy (no corrections) is -1.221 eV/atom. The density is 7044 kg/m3.

Entry 4:
## Ce4Pr2As3N2 (PBE)

Data for an optimized crystal structure of Ce4Pr2As3N2.

The structure belongs to space group I4/mmm (No. 139); the cell edges are 4.609, 4.609 and 24.841 Å and the angles 90.00°, 90.00° and 90.00°. The inequivalent atoms are Ce at (0.000, 0.500, 0.081), Pr at (0.000, 0.000, 0.200), As at (0.000, 0.000, 0.326), As at (0.000, 0.000, 0.500) and N at (0.000, 0.000, 0.100).

As for the density of states at the Fermi level: 39.343 states/eV/cell. Its formation energy (no corrections) is -1.225 eV/atom. The density is 6891 kg/m3.

Entry 5:
## Ce2Pu4As3N2 (PBE)

Data for an optimized crystal structure of Ce2Pu4As3N2.

The structure belongs to space group I4/mmm (No. 139); the cell edges are 4.531, 4.531 and 24.679 Å and the angles 90.00°, 90.00° and 90.00°. The inequivalent atoms are Ce at (0.000, 0.000, 0.199), Pu at (0.000, 0.500, 0.082), As at (0.000, 0.000, 0.326), As at (0.000, 0.000, 0.500) and N at (0.000, 0.000, 0.106).

As for the density of states at the Fermi level: 62.739 states/eV/cell. Its formation energy (no corrections) is -1.060 eV/atom. The density is 9892 kg/m3.

Entry 6:
## Ce2PuAsN2 (PBE)

Data for an optimized crystal structure of Ce2PuAsN2.

The structure belongs to space group P4/mmm (No. 123); the cell edges are 4.328, 4.328 and 6.300 Å and the angles 90.00°, 90.00° and 90.00°. The inequivalent atoms are Ce at (0.000, 0.000, 0.250), Pu at (0.500, 0.500, 0.000), As at (0.500, 0.500, 0.500) and N at (0.000, 0.500, 0.000).

As for the density of states at the Fermi level: 11.413 states/eV/cell. Its formation energy (no corrections) is -1.089 eV/atom. The density is 8824 kg/m3.

Entry 7:
## Ce2PuAs2N2 (PBE)

Data for an optimized crystal structure of Ce2PuAs2N2.

The structure belongs to space group C2/m (No. 12); the cell edges are 11.986, 3.958 and 6.949 Å and the angles 90.00°, 120.86° and 90.00°. The inequivalent atoms are Ce at (0.192, 0.000, 0.239), Pu at (0.000, 0.000, 0.500), As at (0.062, 0.500, 0.837) and N at (0.196, 0.000, 0.585).

As for the density of states at the Fermi level: 22.970 states/eV/cell. Its formation energy (no corrections) is -1.290 eV/atom. The density is 8239 kg/m3.

Entry 8:
## Ce2SbAs2N2 (PBE)

Data for an optimized crystal structure of Ce2SbAs2N2.

The structure belongs to space group P-3m1 (No. 164); the cell edges are 3.7910, 3.7910 and 13.0595 Å and the angles 90.00°, 90.00° and 120.00°. The inequivalent atoms are Ce at (0.3333, 0.6667, 0.2743), Sb at (0.0000, 0.0000, 0.5000), As at (0.0000, 0.0000, 0.0851) and N at (0.3333, 0.6667, 0.7177).

As for the density of states at the Fermi level: 3.839 states/eV/cell. Its formation energy (no corrections) is -0.495 eV/atom. The density is 5924 kg/m3.

Question: Among the records above, which one has the lowest density?
Answer: Ce2SbAs2N2